VASP calculation (GGA-PBE) on crystalline Rb2NpGaI6 at its relaxed geometry.

Cell: 8.448 9.031 12.278 Å, 90.00 89.50 90.00°
Site moments in Bohr magnetons follow the coordinates.
Atoms (fractional coordinates):
I  0.299  0.690  0.053  -0.02
I  0.182  0.206  0.049  -0.02
I  0.103  0.474  0.757  -0.02
I  0.701  0.310  0.947  -0.02
I  0.818  0.794  0.951  -0.02
I  0.799  0.810  0.553  -0.02
I  0.603  0.026  0.257  -0.02
I  0.318  0.706  0.451  -0.02
I  0.897  0.526  0.243  -0.02
I  0.201  0.190  0.447  -0.02
I  0.682  0.294  0.549  -0.02
I  0.397  0.974  0.743  -0.02
Rb  0.469  0.418  0.250  0.00
Rb  0.031  0.918  0.250  0.00
Rb  0.531  0.582  0.750  0.00
Rb  0.969  0.082  0.750  0.00
Np  0.500  0.000  0.500  4.00
Np  0.000  0.500  0.000  4.00
Ga  0.500  0.000  0.000  0.00
Ga  0.000  0.500  0.500  0.00

Summary:
Space-group type: P2_1/c (14)

VASP calculation (GGA-PBE) on crystalline RbNpGa2I6 at its relaxed geometry.

Cell: 8.351 8.347 9.090 Å, 90.00 117.35 120.01°
Site moments in Bohr magnetons follow the coordinates.
Atoms (fractional coordinates):
Ga  0.622  0.310  0.919  0.00
Ga  0.607  0.803  0.396  0.00
I  0.112  0.157  0.686  -0.02
I  0.543  0.954  0.685  -0.02
I  0.745  0.587  0.686  -0.02
I  0.437  0.065  0.164  -0.02
I  0.806  0.741  0.164  -0.02
I  0.113  0.371  0.164  -0.02
Rb  0.003  0.501  0.491  0.00
Np  0.976  0.988  0.949  4.00

Summary:
Space-group type: R3 (146)

VASP calculation (GGA-PBE) on crystalline NpTlGaI6 at its relaxed geometry.

Cell: 7.788 7.788 14.248 Å, 90.00 90.00 90.00°
Site moments in Bohr magnetons follow the coordinates.
Atoms (fractional coordinates):
Ga  0.000  0.000  0.661  -0.02
Ga  0.500  0.500  0.161  -0.02
Np  0.000  0.000  0.333  3.41
Np  0.500  0.500  0.833  3.41
Tl  0.000  0.000  0.999  -0.01
Tl  0.500  0.500  0.499  -0.01
I  0.697  0.697  0.685  -0.05
I  0.803  0.197  0.185  -0.05
I  0.682  0.682  0.993  -0.05
I  0.182  0.818  0.493  -0.05
I  0.303  0.303  0.685  -0.05
I  0.228  0.772  0.825  -0.06
I  0.818  0.182  0.493  -0.05
I  0.772  0.228  0.825  -0.06
I  0.272  0.272  0.325  -0.06
I  0.197  0.803  0.185  -0.05
I  0.728  0.728  0.325  -0.06
I  0.318  0.318  0.993  -0.05

Summary:
Space-group type: P4_2nm (102)

VASP calculation (GGA-PBE) on crystalline NpTlGa2I6 at its relaxed geometry.

Cell: 8.256 8.256 8.991 Å, 62.65 62.65 59.98°
Site moments in Bohr magnetons follow the coordinates.
Atoms (fractional coordinates):
Ga  0.511  0.511  0.468  0.00
Ga  0.004  0.004  0.986  0.00
I  0.578  0.237  0.240  -0.02
I  0.385  0.721  0.758  -0.02
I  0.945  0.578  0.240  -0.02
I  0.237  0.945  0.240  -0.02
I  0.136  0.385  0.758  -0.02
I  0.721  0.136  0.758  -0.02
Tl  0.818  0.818  0.546  0.00
Np  0.326  0.326  0.021  4.00

Summary:
Space-group type: R3 (146)

Computed magnetization, in the same sequence as the records: 8.000; 4.000; 5.999; 4.000 μB/cell.
Computed formation energy from raw total energies, in the same sequence as the records: -1.028; -0.779; -0.651; -0.609 eV/atom.